# LaSmPd | Alexandria | PBE | relaxed
data_LaSmPd
_cell_length_a 7.3126
_cell_length_b 9.9425
_cell_length_c 9.3327
_cell_angle_alpha 122.19
_cell_angle_beta 113.07
_cell_angle_gamma 90.00
_space_group_name_H-M_alt 'P 1'
_space_group_IT_number 1
loop_
_space_group_symop_operation_xyz
'x,y,z'
loop_
_atom_site_label
_atom_site_type_symbol
_atom_site_fract_x
_atom_site_fract_y
_atom_site_fract_z
La1 La 0.7628 0.5521 0.6041
La2 La 0.1586 0.9484 0.3968
Pd1 Pd 0.7889 0.2493 0.9987
La3 La 0.3645 0.7504 0.0008
La4 La 0.1587 0.4479 0.3959
Pd2 Pd 0.4074 0.1785 0.3576
Sm1 Sm 0.7318 0.6249 0.2512
Sm2 Sm 0.0355 0.5000 0.0000
Sm3 Sm 0.4806 0.3751 0.7488
Pd3 Pd 0.7902 0.7507 0.0013
Sm4 Sm 0.4806 0.8738 0.7488
La5 La 0.3637 0.2496 0.9992
Pd4 Pd 0.4074 0.6791 0.3576
La6 La 0.7618 0.0516 0.6032
Pd5 Pd 0.0498 0.3209 0.6424
Sm5 Sm 0.7318 0.1262 0.2512
Sm6 Sm 0.0355 0.0000 0.0000
Pd6 Pd 0.0498 0.8215 0.6424
# DOS at the Fermi energy ... 21.1 states/eV per cell
# Total DFT energy (no corrections) ... -98.21 eV per cell
# Offset from the most stable computed form ... 43.4 meV/atom
# Crystal system ... orthorhombic
# Total moment ... 0.000 μB per atom
# Formation energy ... -0.510 eV per atom
# Calculated volume ... 28.28 Å³/atom
# SG ... No. 46

=====

# CaMg6Cu6 | Alexandria | PBE | relaxed
data_CaMg6Cu6
_cell_length_a 5.3167
_cell_length_b 5.3167
_cell_length_c 9.1324
_cell_angle_alpha 90.00
_cell_angle_beta 90.00
_cell_angle_gamma 120.00
_space_group_name_H-M_alt 'P 1'
_space_group_IT_number 1
loop_
_space_group_symop_operation_xyz
'x,y,z'
loop_
_atom_site_label
_atom_site_type_symbol
_atom_site_fract_x
_atom_site_fract_y
_atom_site_fract_z
Mg1 Mg 0.3333 0.6667 0.0000
Cu1 Cu 0.5000 0.5000 0.7574
Mg2 Mg 0.0000 0.0000 0.3382
Mg3 Mg 0.0000 0.0000 0.6618
Mg4 Mg 0.3333 0.6667 0.5000
Ca1 Ca 0.0000 0.0000 0.0000
Cu2 Cu 0.5000 0.0000 0.2426
Mg5 Mg 0.6667 0.3333 0.5000
Cu3 Cu 0.5000 0.0000 0.7574
Cu4 Cu 0.0000 0.5000 0.7574
Mg6 Mg 0.6667 0.3333 0.0000
Cu5 Cu 0.0000 0.5000 0.2426
Cu6 Cu 0.5000 0.5000 0.2426
# DOS at the Fermi energy ... 5.2 states/eV per cell
# Total DFT energy (no corrections) ... -37.48 eV per cell
# Offset from the most stable computed form ... 7.9 meV/atom
# Crystal system ... hexagonal
# Total moment ... 0.000 μB per atom
# Formation energy ... -0.103 eV per atom
# Calculated volume ... 17.20 Å³/atom
# SG ... No. 191

=====

# Os3Rh | Alexandria | PBE | relaxed
data_Os3Rh
_cell_length_a 3.8505
_cell_length_b 3.8505
_cell_length_c 3.8505
_cell_angle_alpha 90.00
_cell_angle_beta 90.00
_cell_angle_gamma 90.00
_space_group_name_H-M_alt 'P 1'
_space_group_IT_number 1
loop_
_space_group_symop_operation_xyz
'x,y,z'
loop_
_atom_site_label
_atom_site_type_symbol
_atom_site_fract_x
_atom_site_fract_y
_atom_site_fract_z
Os1 Os 0.0000 0.0000 0.5000
Os2 Os 0.5000 0.0000 0.0000
Rh1 Rh 0.5000 0.5000 0.5000
Os3 Os 0.0000 0.5000 0.0000
# DOS at the Fermi energy ... 1.9 states/eV per cell
# Total DFT energy (no corrections) ... -40.53 eV per cell
# Crystal system ... cubic
# Total moment ... 0.000 μB per atom
# Formation energy ... 0.129 eV per atom
# Calculated volume ... 14.27 Å³/atom
# SG ... No. 221

=====

# YZrTa3 | Alexandria | PBE | relaxed
data_YZrTa3
_cell_length_a 4.9179
_cell_length_b 4.9179
_cell_length_c 4.9179
_cell_angle_alpha 90.00
_cell_angle_beta 90.00
_cell_angle_gamma 90.00
_space_group_name_H-M_alt 'P 1'
_space_group_IT_number 1
loop_
_space_group_symop_operation_xyz
'x,y,z'
loop_
_atom_site_label
_atom_site_type_symbol
_atom_site_fract_x
_atom_site_fract_y
_atom_site_fract_z
Ta1 Ta 0.5000 0.0000 0.0000
Ta2 Ta 0.0000 0.5000 0.0000
Zr1 Zr 0.5000 0.5000 0.5000
Ta3 Ta 0.0000 0.0000 0.5000
Y1 Y 0.0000 0.0000 0.0000
# DOS at the Fermi energy ... 7.0 states/eV per cell
# Total DFT energy (no corrections) ... -40.43 eV per cell
# Offset from the most stable computed form ... 623.1 meV/atom
# Crystal system ... cubic
# Total moment ... 0.000 μB per atom
# Formation energy ... 2.028 eV per atom
# Calculated volume ... 23.79 Å³/atom
# SG ... No. 221